1.
First-principles (GGA-PBE) data for an optimized crystal structure of CsHg2Br4, as listed in Alexandria.

Computed properties:
uncorrected energy	-1.98	eV/atom
spin magnetization	0.000	μB per formula unit
ΔE_f (raw)	-0.816	eV/atom

The structure in CIF format:
```
data_CsHg2Br4
_chemical_formula_sum 'Cs2 Hg4 Br8'
_cell_length_a 8.284
_cell_length_b 8.519
_cell_length_c 10.171
_cell_angle_alpha 92.72
_cell_angle_beta 106.66
_cell_angle_gamma 113.58
_space_group_name_H-M_alt 'P 1'
_space_group_IT_number 1
_space_group_name_Hall 'P 1'
loop_
_atom_site_label
_atom_site_type_symbol
_atom_site_fract_x
_atom_site_fract_y
_atom_site_fract_z
Cs1 Cs 0.000 0.000 0.000
Cs2 Cs 0.213 0.687 0.620
Hg1 Hg 0.495 0.279 0.483
Hg2 Hg 0.541 0.434 0.882
Hg3 Hg 0.578 0.875 0.248
Hg4 Hg 0.692 0.397 0.140
Br1 Br 0.169 0.295 0.764
Br2 Br 0.285 0.858 0.295
Br3 Br 0.338 0.386 0.283
Br4 Br 0.520 0.933 0.982
Br5 Br 0.581 0.147 0.691
Br6 Br 0.671 0.638 0.705
Br7 Br 0.813 0.296 0.375
Br8 Br 0.863 0.813 0.326
```

2.
First-principles (GGA-PBE) data for an optimized crystal structure of Cs2HgBr7, as listed in Alexandria.

Computed properties:
uncorrected energy	-2.19	eV/atom
spin magnetization	0.001	μB per formula unit
ΔE_f (raw)	-0.823	eV/atom

The structure in CIF format:
```
data_Cs2HgBr7
_chemical_formula_sum 'Cs4 Hg2 Br14'
_cell_length_a 8.406
_cell_length_b 8.406
_cell_length_c 11.432
_cell_angle_alpha 90.00
_cell_angle_beta 90.00
_cell_angle_gamma 90.00
_space_group_name_H-M_alt 'I 4/m m m'
_space_group_IT_number 139
_space_group_name_Hall '-I 4 2'
loop_
_atom_site_label
_atom_site_type_symbol
_atom_site_fract_x
_atom_site_fract_y
_atom_site_fract_z
Cs1 Cs 0.000 0.500 0.250
Hg1 Hg 0.000 0.000 0.000
Br1 Br 0.000 0.000 0.276
Br2 Br 0.000 0.000 0.500
Br3 Br 0.224 0.224 0.000
```

3.
First-principles (GGA-PBE) data for an optimized crystal structure of CsHgBr, as listed in Alexandria.

Computed properties:
uncorrected energy	-1.99	eV/atom
energy above the most stable polymorph in this dataset	85	meV/atom
spin magnetization	0.000	μB per formula unit
ΔE_f (raw)	-1.047	eV/atom

The structure in CIF format:
```
data_CsHgBr
_chemical_formula_sum 'Cs1 Hg1 Br1'
_cell_length_a 5.5399
_cell_length_b 5.5399
_cell_length_c 5.6613
_cell_angle_alpha 90.00
_cell_angle_beta 90.00
_cell_angle_gamma 120.00
_space_group_name_H-M_alt 'P 3 m 1'
_space_group_IT_number 156
_space_group_name_Hall 'P 3 -2"'
loop_
_atom_site_label
_atom_site_type_symbol
_atom_site_fract_x
_atom_site_fract_y
_atom_site_fract_z
Cs1 Cs 0.0000 0.0000 0.0000
Hg1 Hg 0.3333 0.6667 0.4225
Br1 Br 0.6667 0.3333 0.7273
```

4.
First-principles (GGA-PBE) data for an optimized crystal structure of Cs2HgBr4, as listed in Alexandria.

Computed properties:
uncorrected energy	-2.47	eV/atom
energy above the most stable polymorph in this dataset	32	meV/atom
spin magnetization	0.000	μB per formula unit
ΔE_f (raw)	-1.228	eV/atom

The structure in CIF format:
```
data_Cs2HgBr4
_chemical_formula_sum 'Cs4 Hg2 Br8'
_cell_length_a 5.755
_cell_length_b 5.755
_cell_length_c 17.783
_cell_angle_alpha 90.00
_cell_angle_beta 90.00
_cell_angle_gamma 90.00
_space_group_name_H-M_alt 'I 4/m m m'
_space_group_IT_number 139
_space_group_name_Hall '-I 4 2'
loop_
_atom_site_label
_atom_site_type_symbol
_atom_site_fract_x
_atom_site_fract_y
_atom_site_fract_z
Cs1 Cs 0.000 0.000 0.137
Hg1 Hg 0.000 0.000 0.500
Br1 Br 0.000 0.000 0.343
Br2 Br 0.000 0.500 0.000
```

5.
First-principles (GGA-PBE) data for an optimized crystal structure of CsHg2Br, as listed in Alexandria.

Computed properties:
uncorrected energy	-1.56	eV/atom
energy above the most stable polymorph in this dataset	41	meV/atom
spin magnetization	0.000	μB per formula unit
ΔE_f (raw)	-0.775	eV/atom

The structure in CIF format:
```
data_CsHg2Br
_chemical_formula_sum 'Cs2 Hg4 Br2'
_cell_length_a 5.813
_cell_length_b 7.458
_cell_length_c 8.565
_cell_angle_alpha 99.74
_cell_angle_beta 90.38
_cell_angle_gamma 105.20
_space_group_name_H-M_alt 'P 1'
_space_group_IT_number 1
_space_group_name_Hall 'P 1'
loop_
_atom_site_label
_atom_site_type_symbol
_atom_site_fract_x
_atom_site_fract_y
_atom_site_fract_z
Cs1 Cs 0.000 0.000 0.000
Cs2 Cs 0.386 0.659 0.428
Hg1 Hg 0.067 0.121 0.519
Hg2 Hg 0.338 0.520 0.885
Hg3 Hg 0.591 0.180 0.334
Hg4 Hg 0.803 0.448 0.698
Br1 Br 0.501 0.007 0.769
Br2 Br 0.867 0.594 0.188
```

6.
First-principles (GGA-PBE) data for an optimized crystal structure of CsHg2Br, as listed in Alexandria.

Computed properties:
uncorrected energy	-1.58	eV/atom
energy above the most stable polymorph in this dataset	19	meV/atom
spin magnetization	0.000	μB per formula unit
ΔE_f (raw)	-0.797	eV/atom

The structure in CIF format:
```
data_CsHg2Br
_chemical_formula_sum 'Cs1 Hg2 Br1'
_cell_length_a 5.039
_cell_length_b 5.039
_cell_length_c 6.746
_cell_angle_alpha 90.00
_cell_angle_beta 90.00
_cell_angle_gamma 90.00
_space_group_name_H-M_alt 'P 4/m m m'
_space_group_IT_number 123
_space_group_name_Hall '-P 4 2'
loop_
_atom_site_label
_atom_site_type_symbol
_atom_site_fract_x
_atom_site_fract_y
_atom_site_fract_z
Cs1 Cs 0.000 0.000 0.000
Hg1 Hg 0.000 0.500 0.500
Br1 Br 0.500 0.500 0.000
```

7.
First-principles (GGA-PBE) data for an optimized crystal structure of Cs6HgBr8, as listed in Alexandria.

Computed properties:
uncorrected energy	-2.75	eV/atom
spin magnetization	0.000	μB per formula unit
ΔE_f (raw)	-1.493	eV/atom

The structure in CIF format:
```
data_Cs6HgBr8
_chemical_formula_sum 'Cs18 Hg3 Br24'
_cell_length_a 10.5626
_cell_length_b 10.5626
_cell_length_c 20.9843
_cell_angle_alpha 90.00
_cell_angle_beta 90.00
_cell_angle_gamma 120.00
_space_group_name_H-M_alt 'R -3'
_space_group_IT_number 148
_space_group_name_Hall '-R 3'
loop_
_atom_site_label
_atom_site_type_symbol
_atom_site_fract_x
_atom_site_fract_y
_atom_site_fract_z
Cs1 Cs 0.0220 0.6185 0.4191
Hg1 Hg 0.0000 0.0000 0.5000
Br1 Br 0.0000 0.0000 0.1535
Br2 Br 0.0115 0.7793 0.5795
```

8.
First-principles (GGA-PBE) data for an optimized crystal structure of CsHgBr, as listed in Alexandria.

Computed properties:
uncorrected energy	-2.01	eV/atom
energy above the most stable polymorph in this dataset	68	meV/atom
spin magnetization	0.000	μB per formula unit
ΔE_f (raw)	-1.064	eV/atom

The structure in CIF format:
```
data_CsHgBr
_chemical_formula_sum 'Cs1 Hg1 Br1'
_cell_length_a 5.030
_cell_length_b 7.712
_cell_length_c 5.030
_cell_angle_alpha 90.00
_cell_angle_beta 90.01
_cell_angle_gamma 90.00
_space_group_name_H-M_alt 'P 1 m 1'
_space_group_IT_number 6
_space_group_name_Hall 'P -2y'
loop_
_atom_site_label
_atom_site_type_symbol
_atom_site_fract_x
_atom_site_fract_y
_atom_site_fract_z
Cs1 Cs 0.000 0.000 0.000
Hg1 Hg 0.489 0.500 0.481
Br1 Br 0.500 0.000 0.500
```

9.
First-principles (GGA-PBE) data for an optimized crystal structure of Cs2HgBr, as listed in Alexandria.

Computed properties:
uncorrected energy	-1.83	eV/atom
energy above the most stable polymorph in this dataset	77	meV/atom
spin magnetization	0.453	μB per formula unit
ΔE_f (raw)	-0.913	eV/atom

The structure in CIF format:
```
data_Cs2HgBr
_chemical_formula_sum 'Cs6 Hg3 Br3'
_cell_length_a 5.1208
_cell_length_b 5.1208
_cell_length_c 28.9927
_cell_angle_alpha 90.00
_cell_angle_beta 90.00
_cell_angle_gamma 120.00
_space_group_name_H-M_alt 'R 3 m'
_space_group_IT_number 160
_space_group_name_Hall 'R 3 -2"'
loop_
_atom_site_label
_atom_site_type_symbol
_atom_site_fract_x
_atom_site_fract_y
_atom_site_fract_z
Cs1 Cs 0.0000 0.0000 0.0000
Cs2 Cs 0.0000 0.0000 0.1828
Hg1 Hg 0.0000 0.0000 0.4243
Br1 Br 0.0000 0.0000 0.5910
```

10.
First-principles (GGA-PBE) data for an optimized crystal structure of Cs2HgBr4, as listed in Alexandria.

Computed properties:
uncorrected energy	-2.50	eV/atom
energy above the most stable polymorph in this dataset	0	meV/atom
spin magnetization	0.000	μB per formula unit
ΔE_f (raw)	-1.260	eV/atom

The structure in CIF format:
```
data_Cs2HgBr4
_chemical_formula_sum 'Cs4 Hg2 Br8'
_cell_length_a 8.094
_cell_length_b 7.962
_cell_length_c 10.316
_cell_angle_alpha 90.00
_cell_angle_beta 108.80
_cell_angle_gamma 90.00
_space_group_name_H-M_alt 'P 1 21/m 1'
_space_group_IT_number 11
_space_group_name_Hall '-P 2yb'
loop_
_atom_site_label
_atom_site_type_symbol
_atom_site_fract_x
_atom_site_fract_y
_atom_site_fract_z
Cs1 Cs 0.214 0.250 0.050
Cs2 Cs 0.276 0.250 0.572
Hg1 Hg 0.219 0.750 0.794
Br1 Br 0.006 0.509 0.268
Br2 Br 0.389 0.750 0.063
Br3 Br 0.418 0.750 0.633
```